TbPuFeOs: relaxed, GGA-PBE.

Summary:
- total magnetization (μB per atom) = 0.637
- calculated total energy (eV per atom) = -9.67
- ΔE_f (eV per atom) = -0.008

extended XYZ file:
```
4
Lattice="4.794 0.000 0.000 2.397 4.152 0.000 2.397 1.384 3.914" Properties=species:S:1:pos:R:3 pbc="T T T"
Pu 0.000 0.000 0.000
Tb 4.794 2.768 1.957
Os 2.397 1.384 0.979
Fe 7.191 4.152 2.936
```

=====

PuThFeOs: relaxed, GGA-PBE.

Summary:
- total magnetization (μB per atom) = 0.861
- calculated total energy (eV per atom) = -10.36
- ΔE_f (eV per atom) = 0.006

extended XYZ file:
```
4
Lattice="-2.132 1.384 4.176 2.266 -0.749 4.266 1.787 3.791 2.517" Properties=species:S:1:pos:R:3 pbc="T T T"
Fe 0.480 1.107 2.740
Pu 0.961 2.213 5.480
Th 0.000 0.000 0.000
Os 1.441 3.320 8.219
```

=====

TmPuFeOs: relaxed, GGA-PBE.

Summary:
- total magnetization (μB per atom) = 0.644
- calculated total energy (eV per atom) = -9.71
- ΔE_f (eV per atom) = -0.084

extended XYZ file:
```
4
Lattice="-1.006 -3.461 3.091 2.096 -4.240 -0.419 3.253 -1.364 3.178" Properties=species:S:1:pos:R:3 pbc="T T T"
Pu 0.000 0.000 0.000
Fe 3.257 -6.799 4.388
Tm 2.171 -4.533 2.925
Os 1.086 -2.266 1.463
```

=====

- What is the ΔE_f in the second record?
  0.006 eV per atom

=====

- Look up the ΔE_f of the first one.
  -0.008 eV per atom